1.
The following is a PBE calculation of a relaxed Li2Cu3Ni3 crystal, from the Alexandria database.

Formation energy (eV/atom): 0.109
Excess energy over the best structure of this formula in the dataset (kJ/mol of formula units): 78.2
D(E_F) (states/eV per cell): 5.90
ρ (kg/m³): 6888

Cell: 6.5333 6.5333 2.4821 Å, 90.00 90.00 120.00°
Atoms (fractional coordinates):
Li (0.3333, 0.6667, 0.0000)
Li (0.6667, 0.3333, 0.0000)
Cu (0.0000, 0.2418, 0.0000)
Cu (0.2418, 0.0000, 0.0000)
Cu (0.7582, 0.7582, 0.0000)
Ni (0.0000, 0.6145, 0.5000)
Ni (0.3855, 0.3855, 0.5000)
Ni (0.6145, 0.0000, 0.5000)


2.
The following is a PBE calculation of a relaxed CrNiOs2 crystal, from the Alexandria database.

Formation energy (eV/atom): 0.472
Excess energy over the best structure of this formula in the dataset (kJ/mol of formula units): 154.0
D(E_F) (states/eV per cell): 6.01
ρ (kg/m³): 15219

Cell: 2.6162 2.6162 8.6938 Å, 90.00 90.00 115.77°
Atoms (fractional coordinates):
Cr (0.0000, 0.0000, 0.0000)
Ni (0.5000, 0.5000, 0.2319)
Os (0.0000, 0.0000, 0.4836)
Os (0.5000, 0.5000, 0.7586)


3.
The following is a PBE calculation of a relaxed LiBeNi2 crystal, from the Alexandria database.

Formation energy (eV/atom): -0.139
D(E_F) (states/eV per cell): 2.69
ρ (kg/m³): 5309

Cell: 7.8795 7.8795 7.8795 Å, 18.21 18.21 18.21°
Atoms (fractional coordinates):
Li (0.0000, 0.0000, 0.0000)
Be (0.5000, 0.5000, 0.5000)
Ni (0.2409, 0.2409, 0.2409)
Ni (0.7591, 0.7591, 0.7591)


4.
The following is a PBE calculation of a relaxed KYSn crystal, from the Alexandria database.

Formation energy (eV/atom): -0.349
Excess energy over the best structure of this formula in the dataset (kJ/mol of formula units): 13.6
D(E_F) (states/eV per cell): 0.00
ρ (kg/m³): 3825

Cell: 9.2410 5.2508 8.8302 Å, 90.00 90.00 90.00°
Atoms (fractional coordinates):
K (0.0105, 0.2500, 0.1549)
K (0.4895, 0.7500, 0.6549)
K (0.5105, 0.2500, 0.3451)
K (0.9895, 0.7500, 0.8451)
Y (0.1413, 0.2500, 0.5765)
Y (0.3587, 0.7500, 0.0765)
Y (0.6413, 0.2500, 0.9235)
Y (0.8587, 0.7500, 0.4235)
Sn (0.1921, 0.7500, 0.3864)
Sn (0.3079, 0.2500, 0.8864)
Sn (0.6921, 0.7500, 0.1136)
Sn (0.8079, 0.2500, 0.6136)


5.
The following is a PBE calculation of a relaxed YSc2Fe crystal, from the Alexandria database.

Formation energy (eV/atom): 0.063
Excess energy over the best structure of this formula in the dataset (kJ/mol of formula units): 43.0
D(E_F) (states/eV per cell): 4.97
ρ (kg/m³): 4437

Cell: 3.2812 3.2812 8.1565 Å, 90.00 90.00 90.00°
Atoms (fractional coordinates):
Y (0.0000, 0.0000, 0.0000)
Sc (0.0000, 0.0000, 0.3789)
Sc (0.5000, 0.5000, 0.6701)
Fe (0.5000, 0.5000, 0.2100)


6.
The following is a PBE calculation of a relaxed ZrGaOsSe2 crystal, from the Alexandria database.

D(E_F) (states/eV per cell): 5.49
ρ (kg/m³): 7248
Formation energy (no corrections) (eV/atom): 1.273

Cell: 4.7215 4.7215 5.2322 Å, 90.00 90.00 90.00°
Atoms (fractional coordinates):
Zr (0.0000, 0.0000, 0.0000)
Ga (0.0000, 0.0000, 0.5000)
Os (0.5000, 0.5000, 0.0000)
Se (0.0000, 0.5000, 0.5000)
Se (0.5000, 0.0000, 0.5000)


7.
The following is a PBE calculation of a relaxed Y2MoP crystal, from the Alexandria database.

Formation energy (eV/atom): -0.171
D(E_F) (states/eV per cell): 2.86
ρ (kg/m³): 5451

Cell: 8.2165 8.2165 8.2165 Å, 25.84 25.84 25.84°
Atoms (fractional coordinates):
Y (0.2400, 0.2400, 0.2400)
Y (0.7600, 0.7600, 0.7600)
Mo (0.0000, 0.0000, 0.0000)
P (0.5000, 0.5000, 0.5000)


8.
The following is a PBE calculation of a relaxed Ti8SnGe2 crystal, from the Alexandria database.

Formation energy (eV/atom): -0.276
D(E_F) (states/eV per cell): 11.38
ρ (kg/m³): 5504

Cell: 6.9413 6.9413 4.9185 Å, 101.53 101.53 116.97°
Atoms (fractional coordinates):
Ti (0.0863, 0.3162, 0.6229)
Ti (0.2383, 0.7617, 0.0000)
Ti (0.3162, 0.0863, 0.6229)
Ti (0.4191, 0.4191, 0.1976)
Ti (0.5809, 0.5809, 0.8024)
Ti (0.6838, 0.9137, 0.3771)
Ti (0.7617, 0.2383, 0.0000)
Ti (0.9137, 0.6838, 0.3771)
Sn (0.0000, 0.0000, 0.0000)
Ge (0.3061, 0.6939, 0.5000)
Ge (0.6939, 0.3061, 0.5000)


9.
The following is a PBE calculation of a relaxed MgTaCr crystal, from the Alexandria database.

Formation energy (eV/atom): 0.529
Excess energy over the best structure of this formula in the dataset (kJ/mol of formula units): 53.4
D(E_F) (states/eV per cell): 3.37
ρ (kg/m³): 8539

Cell: 7.1211 7.1211 7.1211 Å, 158.14 158.14 31.11°
Atoms (fractional coordinates):
Mg (0.0000, 0.0000, 0.0000)
Ta (0.6842, 0.6842, 0.0000)
Cr (0.3408, 0.3408, 0.0000)


10.
The following is a PBE calculation of a relaxed Mn2CrPb crystal, from the Alexandria database.

Formation energy (eV/atom): 0.496
D(E_F) (states/eV per cell): 6.00
ρ (kg/m³): 9403

Cell: 4.5172 4.5172 4.5172 Å, 60.00 60.00 60.00°
Atoms (fractional coordinates):
Mn (0.0000, 0.0000, 0.0000)
Mn (0.2500, 0.2500, 0.2500)
Cr (0.5000, 0.5000, 0.5000)
Pb (0.7500, 0.7500, 0.7500)


11.
The following is a PBE calculation of a relaxed Bi3IrCl crystal, from the Alexandria database.

Excess energy over the best structure of this formula in the dataset (kJ/mol of formula units): 275.2
D(E_F) (states/eV per cell): 13.91
ρ (kg/m³): 8897
Formation energy (no corrections) (eV/atom): 0.393

Cell: 5.4233 5.4233 5.4233 Å, 90.00 90.00 90.00°
Atoms (fractional coordinates):
Bi (0.0000, 0.0000, 0.5000)
Bi (0.0000, 0.5000, 0.0000)
Bi (0.5000, 0.0000, 0.0000)
Ir (0.0000, 0.0000, 0.0000)
Cl (0.5000, 0.5000, 0.5000)


12.
The following is a PBE calculation of a relaxed Y2ReAs crystal, from the Alexandria database.

Formation energy (eV/atom): -0.451
D(E_F) (states/eV per cell): 3.25
ρ (kg/m³): 8092

Cell: 4.1467 5.7357 5.7357 Å, 41.32 90.00 90.00°
Atoms (fractional coordinates):
Y (0.0000, 0.0000, 0.0000)
Y (0.5000, 0.2809, 0.2809)
Re (0.0000, 0.7181, 0.7181)
As (0.5000, 0.5723, 0.5723)


13.
The following is a PBE calculation of a relaxed LiPd2Rh2 crystal, from the Alexandria database.

Formation energy (eV/atom): 0.263
Excess energy over the best structure of this formula in the dataset (kJ/mol of formula units): 86.8
D(E_F) (states/eV per cell): 5.69
ρ (kg/m³): 8362

Cell: 6.9809 6.9809 6.9809 Å, 150.06 150.06 42.85°
Atoms (fractional coordinates):
Li (0.0000, 0.0000, 0.0000)
Pd (0.4019, 0.4019, 0.0000)
Pd (0.5981, 0.5981, 0.0000)
Rh (0.2500, 0.7500, 0.5000)
Rh (0.7500, 0.2500, 0.5000)


14.
The following is a PBE calculation of a relaxed ZrIr3 crystal, from the Alexandria database.

Formation energy (eV/atom): -0.240
D(E_F) (states/eV per cell): 4.71
ρ (kg/m³): 16915

Cell: 2.8293 4.6319 5.1215 Å, 90.00 102.36 90.00°
Atoms (fractional coordinates):
Zr (0.0000, 0.0000, 0.0000)
Ir (0.3644, 0.5000, 0.7303)
Ir (0.5000, 0.0000, 0.5000)
Ir (0.6356, 0.5000, 0.2697)


15.
The following is a PBE calculation of a relaxed LiCaSe2 crystal, from the Alexandria database.

D(E_F) (states/eV per cell): 2.56
ρ (kg/m³): 3542
Formation energy (no corrections) (eV/atom): -1.261

Cell: 6.6724 6.6724 6.6724 Å, 36.93 36.93 36.93°
Atoms (fractional coordinates):
Li (0.0000, 0.0000, 0.0000)
Ca (0.1765, 0.1765, 0.1765)
Se (0.5981, 0.5981, 0.5981)
Se (0.7548, 0.7548, 0.7548)


16.
The following is a PBE calculation of a relaxed CdPtRhO4 crystal, from the Alexandria database.

D(E_F) (states/eV per cell): 4.68
ρ (kg/m³): 8452
Formation energy (no corrections) (eV/atom): -0.611

Cell: 6.3840 6.3840 6.3840 Å, 120.53 117.55 91.69°
Atoms (fractional coordinates):
Cd (0.3821, 0.1321, 0.2500)
Cd (0.6179, 0.8679, 0.7500)
Pt (0.0000, 0.5000, 0.5000)
Pt (0.5000, 0.5000, 0.0000)
Rh (0.0000, 0.0000, 0.5000)
Rh (0.0000, 0.5000, 0.0000)
O (0.1885, 0.7320, 0.4565)
O (0.2246, 0.2680, 0.9565)
O (0.2351, 0.2746, 0.5395)
O (0.2351, 0.6956, 0.9605)
O (0.7649, 0.3044, 0.0395)
O (0.7649, 0.7254, 0.4605)
O (0.7754, 0.7320, 0.0435)
O (0.8115, 0.2680, 0.5435)


17.
The following is a PBE calculation of a relaxed Rb5Sn2O6 crystal, from the Alexandria database.

D(E_F) (states/eV per cell): 5.02
ρ (kg/m³): 3773
Formation energy (no corrections) (eV/atom): -1.412

Cell: 7.0476 7.0476 14.9118 Å, 99.79 99.79 67.45°
Atoms (fractional coordinates):
Rb (0.1006, 0.8994, 0.7500)
Rb (0.1937, 0.7234, 0.9964)
Rb (0.2540, 0.4481, 0.2863)
Rb (0.2766, 0.8063, 0.5036)
Rb (0.4481, 0.2540, 0.7863)
Rb (0.5519, 0.7460, 0.2137)
Rb (0.7234, 0.1937, 0.4964)
Rb (0.7460, 0.5519, 0.7137)
Rb (0.8063, 0.2766, 0.0036)
Rb (0.8994, 0.1006, 0.2500)
Sn (0.1686, 0.3786, 0.5711)
Sn (0.3786, 0.1686, 0.0711)
Sn (0.6214, 0.8314, 0.9289)
Sn (0.8314, 0.6214, 0.4289)
O (0.0828, 0.3355, 0.4295)
O (0.1062, 0.1941, 0.6396)
O (0.1941, 0.1062, 0.1396)
O (0.3355, 0.0828, 0.9295)
O (0.4176, 0.4482, 0.6170)
O (0.4482, 0.4176, 0.1170)
O (0.5518, 0.5824, 0.8830)
O (0.5824, 0.5518, 0.3830)
O (0.6645, 0.9172, 0.0705)
O (0.8059, 0.8938, 0.8604)
O (0.8938, 0.8059, 0.3604)
O (0.9172, 0.6645, 0.5705)


18.
The following is a PBE calculation of a relaxed BeMoPd crystal, from the Alexandria database.

Formation energy (eV/atom): -0.161
Excess energy over the best structure of this formula in the dataset (kJ/mol of formula units): 22.8
D(E_F) (states/eV per cell): 4.30
ρ (kg/m³): 9040

Cell: 5.7970 4.8626 4.5520 Å, 75.93 54.45 49.61°
Atoms (fractional coordinates):
Be (0.2500, 0.2500, 0.2500)
Be (0.7500, 0.7500, 0.7500)
Mo (0.1651, 0.8349, 0.1651)
Mo (0.8349, 0.1651, 0.8349)
Pd (0.3379, 0.3379, 0.6621)
Pd (0.6621, 0.6621, 0.3379)


19.
The following is a PBE calculation of a relaxed Cu2HS crystal, from the Alexandria database.

Excess energy over the best structure of this formula in the dataset (kJ/mol of formula units): 29.6
D(E_F) (states/eV per cell): 2.48
ρ (kg/m³): 4937

Cell: 5.5856 3.4788 12.3547 Å, 90.00 116.16 90.00°
Atoms (fractional coordinates):
Cu (0.0178, 0.2222, 0.4148)
Cu (0.0178, 0.2778, 0.9148)
Cu (0.1758, 0.7358, 0.3079)
Cu (0.1758, 0.7642, 0.8079)
Cu (0.8242, 0.2358, 0.1921)
Cu (0.8242, 0.2642, 0.6921)
Cu (0.9822, 0.7222, 0.0852)
Cu (0.9822, 0.7778, 0.5852)
H (0.3247, 0.0681, 0.1666)
H (0.3247, 0.4319, 0.6666)
H (0.6753, 0.5681, 0.3334)
H (0.6753, 0.9319, 0.8334)
S (0.3651, 0.1491, 0.5986)
S (0.3651, 0.3509, 0.0986)
S (0.6349, 0.6491, 0.9014)
S (0.6349, 0.8509, 0.4014)


20.
The following is a PBE calculation of a relaxed SrCa8Tl2 crystal, from the Alexandria database.

Formation energy (eV/atom): -0.156
D(E_F) (states/eV per cell): 10.59
ρ (kg/m³): 3228

Cell: 9.9590 9.9590 8.8836 Å, 111.89 111.89 31.15°
Atoms (fractional coordinates):
Sr (0.0000, 0.0000, 0.0000)
Ca (0.1063, 0.1063, 0.4900)
Ca (0.1843, 0.1843, 0.9332)
Ca (0.3194, 0.3194, 0.7188)
Ca (0.4553, 0.4553, 0.2676)
Ca (0.5447, 0.5447, 0.7324)
Ca (0.6806, 0.6806, 0.2812)
Ca (0.8157, 0.8157, 0.0668)
Ca (0.8937, 0.8937, 0.5100)
Tl (0.2948, 0.2948, 0.3128)
Tl (0.7052, 0.7052, 0.6872)


21.
The following is a PBE calculation of a relaxed RbFeCo crystal, from the Alexandria database.

Formation energy (eV/atom): 0.550
Excess energy over the best structure of this formula in the dataset (kJ/mol of formula units): 10.3
D(E_F) (states/eV per cell): 4.67
ρ (kg/m³): 3407

Cell: 4.1044 4.6434 10.2477 Å, 92.02 90.07 90.00°
Atoms (fractional coordinates):
Rb (0.2492, 0.2766, 0.2142)
Rb (0.7508, 0.7234, 0.7858)
Fe (0.2501, 0.1228, 0.5458)
Fe (0.7499, 0.8772, 0.4542)
Co (0.2500, 0.6350, 0.4973)
Co (0.7500, 0.3650, 0.5027)


22.
The following is a PBE calculation of a relaxed Ti3Zn2Ir2 crystal, from the Alexandria database.

Formation energy (eV/atom): -0.504
D(E_F) (states/eV per cell): 6.82
ρ (kg/m³): 10315

Cell: 9.7190 9.7190 2.9046 Å, 90.00 90.00 157.26°
Atoms (fractional coordinates):
Ti (0.0000, 0.0000, 0.0000)
Ti (0.1439, 0.8561, 0.0000)
Ti (0.8561, 0.1439, 0.0000)
Zn (0.2868, 0.7132, 0.5000)
Zn (0.7132, 0.2868, 0.5000)
Ir (0.4254, 0.5746, 0.5000)
Ir (0.5746, 0.4254, 0.5000)


23.
The following is a PBE calculation of a relaxed Li2Al crystal, from the Alexandria database.

Formation energy (eV/atom): -0.023
D(E_F) (states/eV per cell): 2.97
ρ (kg/m³): 1366

Cell: 4.6050 4.6050 5.4106 Å, 90.00 90.00 120.00°
Atoms (fractional coordinates):
Li (0.0000, 0.0000, 0.0000)
Li (0.0000, 0.0000, 0.5000)
Li (0.3333, 0.6667, 0.2500)
Li (0.6667, 0.3333, 0.7500)
Al (0.3333, 0.6667, 0.7500)
Al (0.6667, 0.3333, 0.2500)


24.
The following is a PBE calculation of a relaxed GaPd2S crystal, from the Alexandria database.

Excess energy over the best structure of this formula in the dataset (kJ/mol of formula units): 28.0
D(E_F) (states/eV per cell): 4.24
ρ (kg/m³): 8517
Formation energy (no corrections) (eV/atom): -0.191

Cell: 4.4269 4.4269 4.4269 Å, 60.00 60.00 60.00°
Atoms (fractional coordinates):
Ga (0.0000, 0.0000, 0.0000)
Pd (0.2500, 0.2500, 0.2500)
Pd (0.7500, 0.7500, 0.7500)
S (0.5000, 0.5000, 0.5000)